# Ac4Nd2Y5

A relaxed structure of Ac4Nd2Y5 (PBE, Alexandria).

Results
Energy of formation ... 50 kJ/mol of formula units
Crystal system ... monoclinic

Cell and atoms, written as POSCAR:
```
Ac4Nd2Y5
1.0
-2.2640 -3.3015 3.5445
-1.3456 -5.5295 -6.0099
10.3302 1.8716 4.3087
Ac Nd Y
4 2 5
Cartesian
5.1151 -2.8918 0.5737
0.3219 -1.9592 -1.6192
1.6055 -4.0676 1.2696
6.3987 -5.0003 3.4625
7.1360 -1.2814 3.3646
-0.4155 -5.6781 -1.5213
3.6722 -2.4899 4.0593
3.0483 -4.4695 -2.2160
4.2695 -6.5437 0.6649
-1.1320 -1.6507 1.7722
2.4511 -0.4157 1.1784
```



# Ac5Nd2Y4

A relaxed structure of Ac5Nd2Y4 (PBE, Alexandria).

Results
Energy of formation ... 130 kJ/mol of formula units
Crystal system ... monoclinic

Cell and atoms, written as POSCAR:
```
Ac5Nd2Y4
1.0
3.6904 0.0000 -0.7388
-0.7609 8.2230 -3.8009
1.0554 -1.7003 14.8584
Ac Nd Y
5 2 4
Cartesian
0.3786 6.6881 1.8913
3.6063 -0.1654 8.4274
0.6075 1.3651 3.0348
1.8452 0.0000 -0.3694
3.3773 5.1576 7.2840
1.9751 3.6757 0.2794
2.0098 2.8470 10.0394
2.6818 4.3592 3.8098
-0.3371 5.8457 -1.6841
1.3030 2.1636 6.5089
4.3220 0.6770 12.0028
```



# Ac7Nd2Y

A relaxed structure of Ac7Nd2Y (PBE, Alexandria).

Results
Energy of formation ... 583 kJ/mol of formula units
Crystal system ... orthorhombic

Cell and atoms, written as POSCAR:
```
Ac7Nd2Y
1.0
-4.1932 -4.2906 0.8009
6.1140 -4.9040 5.7394
-0.2512 2.0186 9.4991
Ac Nd Y
7 2 1
Cartesian
1.4143 -0.6961 3.6761
4.4485 -2.1893 11.5624
3.5540 -6.1203 8.6905
-1.8844 -1.0557 7.3489
2.1264 -5.4177 4.9798
-0.4567 -1.7583 11.0595
0.8348 -3.5880 8.0197
-0.3427 -3.0085 4.9593
2.0123 -4.1675 11.0801
0.0000 0.0000 0.0000
```



# AcNd5Y6

A relaxed structure of AcNd5Y6 (PBE, Alexandria).

Results
Energy relative to the lowest polymorph listed for this composition ... 0.000 eV per atom
Energy of formation ... 17 kJ/mol of formula units
Crystal system ... monoclinic

Cell and atoms, written as POSCAR:
```
AcNd5Y6
1.0
11.8951 -1.2690 0.0000
1.7734 6.0927 0.0000
0.8867 3.0464 5.4933
Ac Nd Y
1 5 6
Cartesian
0.0000 0.0000 0.0000
6.8342 2.4118 3.6591
0.8867 3.0464 1.8315
6.8342 2.4118 0.0000
1.7734 6.0927 3.6618
7.7209 5.4582 1.8342
9.3377 0.5857 1.8428
4.3307 4.2380 1.8428
3.4511 1.2117 0.0000
10.2173 3.6120 0.0000
10.2244 3.6321 3.6505
5.2174 7.2843 3.6505
```



# Ac3Nd2Y4

A relaxed structure of Ac3Nd2Y4 (PBE, Alexandria).

Results
Energy of formation ... 38 kJ/mol of formula units
Crystal system ... monoclinic

Cell and atoms, written as POSCAR:
```
Ac3Nd2Y4
1.0
3.6935 0.0000 -0.7952
-0.3398 9.0032 -1.5781
0.1509 1.4551 9.6758
Ac Nd Y
3 2 4
Cartesian
3.2819 4.1564 6.2677
0.2228 6.3020 1.0348
0.0000 0.0000 0.0000
2.5253 0.5042 2.7539
0.9794 9.9542 4.5486
2.7402 6.8029 3.7521
0.7644 3.6555 3.5503
1.5336 7.3017 7.1228
1.9711 3.1567 0.1797
```



# AcNd4Y6

A relaxed structure of AcNd4Y6 (PBE, Alexandria).

Results
Energy of formation ... 122 kJ/mol of formula units
Crystal system ... orthorhombic

Cell and atoms, written as POSCAR:
```
AcNd4Y6
1.0
5.9057 0.0000 0.0000
-2.9528 4.9274 0.0000
0.0000 0.0000 26.2231
Ac Nd Y
2 8 12
Cartesian
2.9528 3.0521 6.5558
0.0000 1.8753 19.6673
2.9528 3.3772 14.2515
0.0000 4.6194 3.2320
0.0000 1.5502 11.9716
2.9528 0.3080 22.9911
2.9528 3.3772 25.0831
0.0000 1.5502 1.1399
2.9528 0.3080 16.3436
0.0000 4.6194 9.8795
2.9528 0.0000 0.0000
2.9528 0.0000 13.1115
0.0000 1.3847 8.3699
2.9528 3.5426 17.8532
2.9528 3.5426 21.4815
0.0000 1.3847 4.7416
2.9528 3.0690 10.5142
0.0000 1.8584 15.7089
0.0000 1.8584 23.6258
2.9528 3.0690 2.5973
0.0000 4.6598 6.5558
2.9528 0.2676 19.6673
```



Density of states at the Fermi level values (in states/eV per atom) by entry order: 1.52, 1.69, 1.52, 1.15, 1.56, 1.83.
Mass density values (in Mg/m³) by entry order: 6.68, 6.83, 6.43, 5.99, 6.63, 5.82.